Below is a relaxed Lu2CO crystal, with properties calculated at the PBE-GGA level.

- Spin magnetization: 0.00 μB per cell
- Energy relative to the elements, uncorrected: -1.392 eV per atom
- V: 19.32 Å³ per atom

a = 6.8219 Å, b = 6.8219 Å, c = 6.8219 Å
α = 31.57°, β = 31.57°, γ = 31.57°
Sites, in units of the cell vectors:
1 Lu 0.1027 0.1027 0.1027
2 Lu 0.8973 0.8973 0.8973
3 C 0.5000 0.5000 0.5000
4 O 0.0000 0.0000 0.0000